# 1
Mn2NbRu2 | PBE-GGA | relaxed

## Properties
Total magnetic moment ... 0.00 μB/f.u.
N(E_F) ... 4.363 states/eV/f.u.
Calculated density ... 9.8 g cm⁻³
Offset from the most stable computed form ... 0.0 kJ per mole of atoms
Energy relative to the elements ... 0.024 eV/atom

a b c (Å): 7.0980 7.0980 2.7211
angles (deg): 90.00 90.00 90.00
Sites, in units of the cell vectors:
Mn: 0.1191 0.3809 0.0000
Mn: 0.3809 0.8809 0.0000
Mn: 0.6191 0.1191 0.0000
Mn: 0.8809 0.6191 0.0000
Nb: 0.0000 0.0000 0.0000
Nb: 0.5000 0.5000 0.0000
Ru: 0.1734 0.6734 0.5000
Ru: 0.3266 0.1734 0.5000
Ru: 0.6734 0.8266 0.5000
Ru: 0.8266 0.3266 0.5000

---

# 2
Mn2NbRu | PBE-GGA | relaxed

## Properties
Total magnetic moment ... 4.68 μB/f.u.
N(E_F) ... 4.087 states/eV/f.u.
Calculated density ... 8.2 g cm⁻³
Offset from the most stable computed form ... 46.2 kJ per mole of atoms
Energy relative to the elements ... 0.482 eV/atom

a b c (Å): 5.4969 5.4969 5.4969
angles (deg): 103.19 103.19 122.92
Sites, in units of the cell vectors:
Mn: 0.1080 0.6250 0.9830
Mn: 0.3750 0.3580 0.4830
Mn: 0.6420 0.1250 0.0170
Mn: 0.8750 0.8920 0.5170
Nb: 0.2500 0.7500 0.5000
Nb: 0.5000 0.5000 0.0000
Ru: 0.0000 0.0000 0.0000
Ru: 0.7500 0.2500 0.5000

---

# 3
Mn3NbRu | PBE-GGA | relaxed

## Properties
Total magnetic moment ... 0.00 μB/f.u.
N(E_F) ... 7.949 states/eV/f.u.
Calculated density ... 7.3 g cm⁻³
Offset from the most stable computed form ... 0.0 kJ per mole of atoms
Energy relative to the elements ... 1.445 eV/atom

a b c (Å): 4.3416 4.3416 4.3416
angles (deg): 90.00 90.00 90.00
Sites, in units of the cell vectors:
Mn: 0.0000 0.0000 0.5000
Mn: 0.0000 0.5000 0.0000
Mn: 0.5000 0.0000 0.0000
Nb: 0.5000 0.5000 0.5000
Ru: 0.0000 0.0000 0.0000

---

# 4
Mn3NbRu | PBE-GGA | relaxed

## Properties
Total magnetic moment ... 0.00 μB/f.u.
N(E_F) ... 15.345 states/eV/f.u.
Calculated density ... 7.2 g cm⁻³
Offset from the most stable computed form ... 51.5 kJ per mole of atoms
Energy relative to the elements ... 1.979 eV/atom

a b c (Å): 4.3526 4.3526 4.3526
angles (deg): 90.00 90.00 90.00
Sites, in units of the cell vectors:
Mn: 0.0000 0.0000 0.5000
Mn: 0.0000 0.5000 0.0000
Mn: 0.5000 0.0000 0.0000
Nb: 0.0000 0.0000 0.0000
Ru: 0.5000 0.5000 0.5000

---

# 5
MnNb2Ru | PBE-GGA | relaxed

## Properties
Total magnetic moment ... 0.23 μB/f.u.
N(E_F) ... 2.933 states/eV/f.u.
Calculated density ... 9.3 g cm⁻³
Offset from the most stable computed form ... 0.0 kJ per mole of atoms
Energy relative to the elements ... -0.167 eV/atom

a b c (Å): 3.0992 3.0992 6.3698
angles (deg): 90.00 90.00 90.00
Sites, in units of the cell vectors:
Mn: 0.0000 0.0000 0.0000
Nb: 0.5000 0.5000 0.2362
Nb: 0.5000 0.5000 0.7638
Ru: 0.0000 0.0000 0.5000

---

# 6
MnNb4Ru5 | PBE-GGA | relaxed

## Properties
Total magnetic moment ... 0.82 μB/f.u.
N(E_F) ... 6.096 states/eV/f.u.
Calculated density ... 10.0 g cm⁻³
Energy relative to the elements ... -0.183 eV/atom

a b c (Å): 7.4955 7.4955 5.4084
angles (deg): 111.03 111.03 33.34
Sites, in units of the cell vectors:
Mn: 0.0000 0.0000 0.0000
Nb: 0.1936 0.1936 0.2636
Nb: 0.4188 0.4188 0.1715
Nb: 0.5812 0.5812 0.8285
Nb: 0.8064 0.8064 0.7364
Ru: 0.0000 0.0000 0.5000
Ru: 0.2035 0.2035 0.7886
Ru: 0.3849 0.3849 0.6244
Ru: 0.6151 0.6151 0.3756
Ru: 0.7965 0.7965 0.2114

---

# 7
MnNb2Ru | PBE-GGA | relaxed

## Properties
Total magnetic moment ... 0.17 μB/f.u.
N(E_F) ... 3.888 states/eV/f.u.
Calculated density ... 9.2 g cm⁻³
Offset from the most stable computed form ... 3.3 kJ per mole of atoms
Energy relative to the elements ... -0.133 eV/atom

a b c (Å): 4.4354 4.4354 3.1269
angles (deg): 90.00 90.00 90.00
Sites, in units of the cell vectors:
Mn: 0.0000 0.0000 0.0000
Nb: 0.0000 0.5000 0.5000
Nb: 0.5000 0.0000 0.5000
Ru: 0.5000 0.5000 0.0000

---

# 8
MnNb2Ru | PBE-GGA | relaxed

## Properties
Total magnetic moment ... 0.00 μB/f.u.
N(E_F) ... 3.855 states/eV/f.u.
Calculated density ... 9.2 g cm⁻³
Offset from the most stable computed form ... 3.0 kJ per mole of atoms
Energy relative to the elements ... -0.136 eV/atom

a b c (Å): 4.4290 4.4290 4.4290
angles (deg): 60.00 60.00 60.00
Sites, in units of the cell vectors:
Mn: 0.0000 0.0000 0.0000
Nb: 0.2500 0.2500 0.2500
Nb: 0.7500 0.7500 0.7500
Ru: 0.5000 0.5000 0.5000

---

# 9
MnNb5Ru6 | PBE-GGA | relaxed

## Properties
Total magnetic moment ... 4.92 μB/f.u.
N(E_F) ... 9.449 states/eV/f.u.
Calculated density ... 9.9 g cm⁻³
Energy relative to the elements ... -0.200 eV/atom

a b c (Å): 7.6604 7.6604 7.6604
angles (deg): 146.64 129.27 62.08
Sites, in units of the cell vectors:
Mn: 0.0000 0.0000 0.0000
Nb: 0.1655 0.6655 0.5000
Nb: 0.3443 0.3443 0.0000
Nb: 0.5000 0.0000 0.5000
Nb: 0.6557 0.6557 0.0000
Nb: 0.8345 0.3345 0.5000
Ru: 0.0731 0.8304 0.2426
Ru: 0.2358 0.5000 0.7358
Ru: 0.4122 0.1696 0.2426
Ru: 0.5878 0.8304 0.7574
Ru: 0.7642 0.5000 0.2642
Ru: 0.9269 0.1696 0.7574

---

# 10
Mn2NbRu | PBE-GGA | relaxed

## Properties
Total magnetic moment ... 4.03 μB/f.u.
N(E_F) ... 7.262 states/eV/f.u.
Calculated density ... 9.0 g cm⁻³
Offset from the most stable computed form ... 4.0 kJ per mole of atoms
Energy relative to the elements ... 0.044 eV/atom

a b c (Å): 4.3037 4.3037 4.3037
angles (deg): 60.00 60.00 60.00
Sites, in units of the cell vectors:
Mn: 0.2500 0.2500 0.2500
Mn: 0.7500 0.7500 0.7500
Nb: 0.0000 0.0000 0.0000
Ru: 0.5000 0.5000 0.5000

---

# 11
Mn9Nb2Ru | PBE-GGA | relaxed

## Properties
Total magnetic moment ... 1.62 μB/f.u.
N(E_F) ... 11.964 states/eV/f.u.
Calculated density ... 8.6 g cm⁻³
Energy relative to the elements ... 0.057 eV/atom

a b c (Å): 8.2264 8.2264 8.2264
angles (deg): 33.48 33.48 33.48
Sites, in units of the cell vectors:
Mn: 0.0000 0.0000 0.0000
Mn: 0.0877 0.0877 0.5711
Mn: 0.0877 0.5711 0.0877
Mn: 0.1635 0.1635 0.1635
Mn: 0.4289 0.9123 0.9123
Mn: 0.5711 0.0877 0.0877
Mn: 0.8365 0.8365 0.8365
Mn: 0.9123 0.4289 0.9123
Mn: 0.9123 0.9123 0.4289
Nb: 0.3602 0.3602 0.3602
Nb: 0.6398 0.6398 0.6398
Ru: 0.5000 0.5000 0.5000

---

# 12
MnNbRu | PBE-GGA | relaxed

## Properties
Total magnetic moment ... 3.19 μB/f.u.
N(E_F) ... 2.796 states/eV/f.u.
Calculated density ... 8.7 g cm⁻³
Offset from the most stable computed form ... 12.2 kJ per mole of atoms
Energy relative to the elements ... 0.070 eV/atom

a b c (Å): 7.1580 7.1580 7.1580
angles (deg): 149.37 149.37 43.87
Sites, in units of the cell vectors:
Mn: 0.0000 0.5000 0.5000
Mn: 0.5000 0.0000 0.5000
Nb: 0.1750 0.1750 0.0000
Nb: 0.8250 0.8250 0.0000
Ru: 0.3642 0.3642 0.0000
Ru: 0.6358 0.6358 0.0000

---

# 13
MnNb2Ru | PBE-GGA | relaxed

## Properties
Total magnetic moment ... 0.48 μB/f.u.
N(E_F) ... 4.146 states/eV/f.u.
Calculated density ... 9.0 g cm⁻³
Offset from the most stable computed form ... 32.1 kJ per mole of atoms
Energy relative to the elements ... 0.165 eV/atom

a b c (Å): 8.2394 8.2394 8.2394
angles (deg): 21.06 21.06 21.06
Sites, in units of the cell vectors:
Mn: 0.0000 0.0000 0.0000
Nb: 0.2542 0.2542 0.2542
Nb: 0.7458 0.7458 0.7458
Ru: 0.5000 0.5000 0.5000